ScIn2MoS | the Alexandria database | PBE | optimized geometry; space group = P4/mmm (123); calculated density = 5.58 Mg/m³; E_tot = -4.93 eV per atom
1.0
-3.304 -3.985 -0.626
0.348 -0.963 4.290
-4.013 3.164 1.036
Sc Mo S In
1 1 1 2
Direct
0.500 0.500 0.500
0.000 0.500 0.000
0.000 0.000 0.000
0.000 0.000 0.500
0.500 0.000 0.000